Entry 1:
## Ta2AlVN (PBE)

Data for Ta2AlVN after structural relaxation. Values from VASP.

For the formation energy (no corrections), the calculation gives -0.508 eV per atom. Its electronic total energy is -9.4861 eV per atom.

```
&SYSTEM
  ibrav = 0, nat = 5, ntyp = 4
/
ATOMIC_SPECIES
Ta 180.95 Ta.upf
V 50.94 V.upf
Al 26.98 Al.upf
N 14.01 N.upf
CELL_PARAMETERS angstrom
4.315 0.000 0.000
0.000 4.315 0.000
0.000 0.000 3.827
ATOMIC_POSITIONS angstrom
Ta 0.000 2.158 0.000
Ta 2.158 0.000 0.000
V 0.000 0.000 1.914
Al 2.158 2.158 1.914
N 0.000 0.000 0.000
```


Entry 2:
## Zr2TaAlN (PBE)

Data for Zr2TaAlN after structural relaxation. Values from VASP.

For the formation energy (no corrections), the calculation gives -0.729 eV per atom. Its electronic total energy is -8.9321 eV per atom.

```
&SYSTEM
  ibrav = 0, nat = 5, ntyp = 4
/
ATOMIC_SPECIES
Zr 91.22 Zr.upf
Al 26.98 Al.upf
Ta 180.95 Ta.upf
N 14.01 N.upf
CELL_PARAMETERS angstrom
-1.559 -3.153 -2.945
-0.206 -3.073 3.399
-3.837 1.147 0.804
ATOMIC_POSITIONS angstrom
Zr -0.780 -1.576 -1.472
Zr -0.103 -1.537 1.700
Al -2.801 -2.540 0.629
Ta -1.919 0.573 0.402
N 0.000 0.000 0.000
```


Entry 3:
## ZrTa2AlN (PBE)

Data for ZrTa2AlN after structural relaxation. Values from VASP.

For the formation energy (no corrections), the calculation gives -0.580 eV per atom. Its electronic total energy is -9.4443 eV per atom.

```
&SYSTEM
  ibrav = 0, nat = 5, ntyp = 4
/
ATOMIC_SPECIES
N 14.01 N.upf
Al 26.98 Al.upf
Ta 180.95 Ta.upf
Zr 91.22 Zr.upf
CELL_PARAMETERS angstrom
-0.064 -3.735 1.878
2.052 -1.665 -3.240
4.056 0.971 2.070
ATOMIC_POSITIONS angstrom
N 0.000 0.000 0.000
Al 3.022 -2.214 0.354
Ta 1.026 -0.832 -1.620
Ta -0.032 -1.867 0.939
Zr 2.028 0.486 1.035
```


Entry 4:
## Tb2AlN (PBE)

Data for Tb2AlN after structural relaxation. Values from VASP.

For the formation energy (no corrections), the calculation gives -0.562 eV per atom. Its electronic total energy is -5.8941 eV per atom.

```
&SYSTEM
  ibrav = 0, nat = 4, ntyp = 3
/
ATOMIC_SPECIES
Al 26.98 Al.upf
N 14.01 N.upf
Tb 158.93 Tb.upf
CELL_PARAMETERS angstrom
3.427 0.000 0.000
1.714 2.968 0.000
1.714 0.989 8.868
ATOMIC_POSITIONS angstrom
Al 0.000 0.000 0.000
N 3.427 1.979 4.434
Tb 5.141 2.968 3.096
Tb 1.714 0.989 5.772
```


Entry 5:
## Tb3AlN (PBE)

Data for Tb3AlN after structural relaxation. Values from VASP.

For the formation energy (no corrections), the calculation gives -0.901 eV per atom. Its electronic total energy is -6.0931 eV per atom.

```
&SYSTEM
  ibrav = 0, nat = 5, ntyp = 3
/
ATOMIC_SPECIES
Tb 158.93 Tb.upf
Al 26.98 Al.upf
N 14.01 N.upf
CELL_PARAMETERS angstrom
4.806 0.000 0.000
0.000 4.806 0.000
0.000 0.000 4.806
ATOMIC_POSITIONS angstrom
Tb 2.403 0.000 2.403
Tb 2.403 2.403 0.000
Tb 0.000 2.403 2.403
Al 0.000 0.000 0.000
N 2.403 2.403 2.403
```


Entry 6:
## TbAlN (PBE)

Data for TbAlN after structural relaxation. Values from VASP.

For the formation energy (no corrections), the calculation gives -1.003 eV per atom. Its electronic total energy is -6.5695 eV per atom.

```
&SYSTEM
  ibrav = 0, nat = 6, ntyp = 3
/
ATOMIC_SPECIES
N 14.01 N.upf
Al 26.98 Al.upf
Tb 158.93 Tb.upf
CELL_PARAMETERS angstrom
4.917 0.000 0.000
0.000 3.770 0.183
0.000 -0.281 5.829
ATOMIC_POSITIONS angstrom
N 3.688 0.833 2.314
N 1.229 2.656 3.698
Al 3.688 0.922 0.420
Al 1.229 2.568 5.591
Tb 1.229 0.836 2.279
Tb 3.688 2.654 3.733
```


Entry 7:
## Tb2YAlN (PBE)

Data for Tb2YAlN after structural relaxation. Values from VASP.

For the formation energy (no corrections), the calculation gives -0.911 eV per atom. Its electronic total energy is -6.4699 eV per atom.

```
&SYSTEM
  ibrav = 0, nat = 5, ntyp = 4
/
ATOMIC_SPECIES
N 14.01 N.upf
Al 26.98 Al.upf
Tb 158.93 Tb.upf
Y 88.91 Y.upf
CELL_PARAMETERS angstrom
-4.510 1.120 -1.140
-1.525 -4.088 2.018
-0.501 2.265 4.210
ATOMIC_POSITIONS angstrom
N 0.000 0.000 0.000
Al -3.268 -0.351 2.544
Tb -0.763 -2.044 1.009
Tb -0.251 1.133 2.105
Y -2.255 0.560 -0.570
```


Entry 8:
## AlTcN3 (PBE)

Data for AlTcN3 after structural relaxation. Values from VASP.

For the formation energy (no corrections), the calculation gives 1.108 eV per atom. Its electronic total energy is -6.7089 eV per atom.

```
&SYSTEM
  ibrav = 0, nat = 5, ntyp = 3
/
ATOMIC_SPECIES
N 14.01 N.upf
Al 26.98 Al.upf
Tc 98.00 Tc.upf
CELL_PARAMETERS angstrom
3.653 0.000 0.000
0.000 3.653 0.000
0.000 0.000 3.653
ATOMIC_POSITIONS angstrom
N 0.000 1.826 0.000
N 1.826 0.000 0.000
N 0.000 0.000 1.826
Al 0.000 0.000 0.000
Tc 1.826 1.826 1.826
```


Entry 9:
## AlTc2N (PBE)

Data for AlTc2N after structural relaxation. Values from VASP.

For the formation energy (no corrections), the calculation gives 0.032 eV per atom. Its electronic total energy is -8.1681 eV per atom.

```
&SYSTEM
  ibrav = 0, nat = 8, ntyp = 3
/
ATOMIC_SPECIES
Tc 98.00 Tc.upf
N 14.01 N.upf
Al 26.98 Al.upf
CELL_PARAMETERS angstrom
-3.043 -5.990 0.066
3.057 -1.616 -5.761
1.787 -4.694 -1.653
ATOMIC_POSITIONS angstrom
Tc 1.647 -3.583 -3.998
Tc 1.678 -6.548 -4.001
Tc 1.021 -10.000 -5.597
Tc -0.742 -4.469 -1.099
N 0.007 -3.803 -2.847
N 2.426 -5.056 -5.131
Al 0.000 0.000 0.000
Al -0.624 -7.244 -2.217
```


Entry 10:
## AlTc2N (PBE)

Data for AlTc2N after structural relaxation. Values from VASP.

For the formation energy (no corrections), the calculation gives 0.920 eV per atom. Its electronic total energy is -7.2804 eV per atom.

```
&SYSTEM
  ibrav = 0, nat = 4, ntyp = 3
/
ATOMIC_SPECIES
Tc 98.00 Tc.upf
N 14.01 N.upf
Al 26.98 Al.upf
CELL_PARAMETERS angstrom
0.145 -0.928 4.025
-3.355 0.507 2.361
-2.036 -3.299 1.435
ATOMIC_POSITIONS angstrom
Tc -3.934 -2.790 5.865
Tc -1.311 -0.930 1.955
N 0.000 0.000 0.000
Al -2.623 -1.860 3.910
```


Entry 11:
## AlTc2N (PBE)

Data for AlTc2N after structural relaxation. Values from VASP.

For the formation energy (no corrections), the calculation gives 0.054 eV per atom. Its electronic total energy is -8.1457 eV per atom.

```
&SYSTEM
  ibrav = 0, nat = 4, ntyp = 3
/
ATOMIC_SPECIES
N 14.01 N.upf
Tc 98.00 Tc.upf
Al 26.98 Al.upf
CELL_PARAMETERS angstrom
3.135 0.000 0.000
1.567 2.715 0.000
1.567 0.905 6.307
ATOMIC_POSITIONS angstrom
N 0.000 0.000 0.000
Tc 1.567 0.905 1.002
Tc 4.702 2.715 5.305
Al 3.135 1.810 3.153
```


Entry 12:
## AlTcN3 (PBE)

Data for AlTcN3 after structural relaxation. Values from VASP.

For the formation energy (no corrections), the calculation gives 0.855 eV per atom. Its electronic total energy is -6.9624 eV per atom.

```
&SYSTEM
  ibrav = 0, nat = 5, ntyp = 3
/
ATOMIC_SPECIES
Al 26.98 Al.upf
N 14.01 N.upf
Tc 98.00 Tc.upf
CELL_PARAMETERS angstrom
3.881 0.000 0.000
0.000 3.881 0.000
0.000 0.000 3.881
ATOMIC_POSITIONS angstrom
Al 1.940 1.940 1.940
N 0.000 0.000 1.940
N 1.940 0.000 0.000
N 0.000 1.940 0.000
Tc 0.000 0.000 0.000
```